Here is a crystal of TeIrAu relaxed with PBEsol from Alexandria. Energies are from SCAN.

Cell lengths 3.507, 3.507, 5.154 Å; angles 109.89, 109.89, 90.00 degrees
Element x y z (fractional)
Ir 0.312 0.312 0.623
Te 0.695 0.695 0.389
Au 0.994 0.994 0.988

Magnetic moment: 0.0 Bohr magnetons per cell
Formation energy without anion corrections: 0.35 eV per atom
E: -176.462 eV per cell
SG: I4mm (107)
Calculated volume: 56 Å³ per cell